A geometry-optimized CaNd5Sm6 structure, computed with GGA-PBE.

abc: 6.351 8.205 8.205
angles: 84.26 97.41 97.41
Atoms (fractional coordinates):
Ca  0.000  0.000  0.000
Nd  0.500  0.830  0.170
Nd  0.000  0.662  0.338
Nd  0.500  0.500  0.500
Nd  0.000  0.338  0.662
Nd  0.500  0.170  0.830
Sm  0.746  0.916  0.577
Sm  0.254  0.423  0.084
Sm  0.256  0.748  0.748
Sm  0.744  0.252  0.252
Sm  0.746  0.577  0.916
Sm  0.254  0.084  0.423

Results
The calculation puts the formation energy at 0.03 eV/atom. The density of states at the Fermi level comes out at 1.52 states/eV per atom. The total energy is -0.329 Ry per atom. Its symmetry is C2/m, No. 12. The calculation puts the size of the total moment at 0.00 μB/cell.

A geometry-optimized Ca2Co2Ru structure, computed with GGA-PBE.

abc: 6.299 6.299 4.632
angles: 90.00 90.00 90.00
Atoms (fractional coordinates):
Ru  0.000  0.000  0.000
Ru  0.500  0.500  0.000
Ca  0.184  0.684  0.500
Ca  0.684  0.816  0.500
Ca  0.816  0.316  0.500
Ca  0.316  0.184  0.500
Co  0.375  0.875  0.000
Co  0.875  0.625  0.000
Co  0.625  0.125  0.000
Co  0.125  0.375  0.000

Results
The calculation puts the formation energy at 0.21 eV/atom. The density of states at the Fermi level comes out at 0.54 states/eV per atom. The relative energy among the computed polymorphs is 0.000 eV/atom. The total energy is -0.388 Ry per atom. Its symmetry is P4/mbm, No. 127. The calculation puts the size of the total moment at 4.43 μB/cell.